[1]
The following is a DFT calculation (GGA-PBE) of a relaxed LiTbEu crystal.

The structure in POSCAR format:
```
LiTbEu
1.0
-0.625 1.242 3.515
-3.670 0.421 -0.801
1.021 -6.933 0.599
Eu Tb Li
1 1 1
Cartesian
-0.032 -0.172 0.055 Eu
-0.706 -3.825 1.226 Tb
-2.536 -1.273 2.031 Li
```

## Properties
As for the formation enthalpy at 0 K: 0.129 eV/atom. The calculation puts the density of states at the Fermi level at 1.200 states/eV per atom. As for the relative energy among the computed polymorphs: 0 meV per atom. As for the space group: I4mm (107). For the spin magnetization, the calculation gives 7.9 μB/f.u.

---

[2]
The following is a DFT calculation (GGA-PBE) of a relaxed TiNbZn2 crystal.

The structure in POSCAR format:
```
TiNbZn2
1.0
-1.111 0.861 2.448
-1.830 -1.650 1.377
6.254 -4.348 5.996
Nb Zn Ti
1 2 1
Cartesian
1.656 -2.569 4.910 Nb
2.516 -3.871 7.386 Zn
0.796 -1.266 2.434 Zn
0.000 0.000 0.000 Ti
```

## Properties
As for the formation enthalpy at 0 K: 0.036 eV/atom. The calculation puts the density of states at the Fermi level at 0.773 states/eV per atom. As for the space group: R-3m (166). For the spin magnetization, the calculation gives 0.0 μB/f.u.

---

[3]
The following is a DFT calculation (GGA-PBE) of a relaxed La4Ru crystal.

The structure in POSCAR format:
```
La4Ru
1.0
-4.022 6.485 0.267
1.421 -1.997 -7.232
-4.040 -5.551 3.346
La Ru
8 2
Cartesian
-5.225 -1.013 -0.479 La
-2.270 1.424 -5.426 La
-4.969 -1.272 -4.343 La
-0.233 -1.817 -6.462 La
-1.413 -1.109 -2.858 La
-2.489 -4.224 -4.464 La
-2.750 -3.968 -0.600 La
-3.444 2.135 -1.822 La
-0.859 1.483 -2.301 Ru
-4.240 0.828 1.246 Ru
```

## Properties
As for the formation enthalpy at 0 K: -0.213 eV/atom. The calculation puts the density of states at the Fermi level at 1.220 states/eV per atom. As for the relative energy among the computed polymorphs: 0 meV per atom. As for the space group: I4_1/amd (141). For the spin magnetization, the calculation gives 0.0 μB/f.u.

---

[4]
The following is a DFT calculation (GGA-PBE) of a relaxed Tb2AgHg4 crystal.

The structure in POSCAR format:
```
Tb2AgHg4
1.0
5.279 0.000 0.000
0.000 5.279 0.000
-2.640 -2.640 7.605
Tb Ag Hg
2 1 4
Cartesian
2.640 2.640 1.749 Tb
0.000 0.000 5.856 Tb
0.000 0.000 0.000 Ag
2.640 2.640 4.744 Hg
0.000 0.000 2.860 Hg
0.000 2.640 0.000 Hg
2.640 0.000 0.000 Hg
```

## Properties
As for the formation enthalpy at 0 K: 0.035 eV/atom. The calculation puts the density of states at the Fermi level at 0.729 states/eV per atom. As for the relative energy among the computed polymorphs: 320 meV per atom. As for the space group: I4/mmm (139). For the spin magnetization, the calculation gives 0.0 μB/f.u.

---

[5]
The following is a DFT calculation (GGA-PBE) of a relaxed Ni4Pd2Pt crystal.

The structure in POSCAR format:
```
Ni4Pd2Pt
1.0
-0.492 0.219 4.397
-0.785 -3.525 -2.144
11.455 -3.434 1.453
Ni Pd Pt
8 4 2
Cartesian
1.004 -2.092 2.448 Ni
3.220 -2.756 2.729 Ni
9.174 -4.648 1.258 Ni
6.958 -3.984 0.977 Ni
7.427 -5.509 3.337 Ni
2.751 -1.231 0.369 Ni
-0.246 0.110 2.198 Ni
5.481 -1.608 2.925 Ni
4.757 -2.638 0.664 Pd
9.878 -5.438 3.608 Pd
0.300 -1.302 0.098 Pd
5.421 -4.102 3.043 Pd
8.148 -3.119 3.299 Pt
2.030 -3.621 0.408 Pt
```

## Properties
As for the formation enthalpy at 0 K: 0.165 eV/atom. The calculation puts the density of states at the Fermi level at 1.495 states/eV per atom. As for the relative energy among the computed polymorphs: 135 meV per atom. As for the space group: Cmcm (63). For the spin magnetization, the calculation gives 3.8 μB/f.u.

---

[6]
The following is a DFT calculation (GGA-PBE) of a relaxed Nb2GaMo crystal.

The structure in POSCAR format:
```
Nb2GaMo
1.0
3.124 0.000 0.000
1.562 2.705 0.000
1.562 0.902 8.417
Mo Nb Ga
1 2 1
Cartesian
0.000 0.000 0.000 Mo
1.562 0.902 2.008 Nb
4.685 2.705 6.409 Nb
3.124 1.803 4.208 Ga
```

## Properties
As for the formation enthalpy at 0 K: 0.072 eV/atom. The calculation puts the density of states at the Fermi level at 0.619 states/eV per atom. As for the space group: R-3m (166). For the spin magnetization, the calculation gives 0.0 μB/f.u.

---

Values for E, Ry/atom, ordered as above
-0.403; -0.374; -0.442; -0.137; -0.403; -0.619